[1]
Material: AlCu2Ni5
Method: DFT, PBEsol
State: optimized geometry

POSCAR file:
```
AlCu2Ni5
1.0
3.545 0.000 0.000
0.000 3.545 0.000
0.000 0.000 13.763
Al Cu Ni
2 4 10
direct
0.000 0.000 0.000
0.500 0.500 0.500
0.000 0.000 0.250
0.000 0.000 0.750
0.500 0.500 0.250
0.500 0.500 0.750
0.000 0.000 0.500
0.000 0.500 0.124
0.000 0.500 0.376
0.000 0.500 0.624
0.000 0.500 0.876
0.500 0.000 0.124
0.500 0.000 0.376
0.500 0.000 0.624
0.500 0.000 0.876
0.500 0.500 0.000
```

Calculated values
ΔE_f = -0.204 eV/atom
polymorph energy (0 for the lowest one) = 0.000 eV/atom
volume = 173 Å³/cell
SG = I4/mmm (139)

***

[2]
Material: Al4CuNi
Method: DFT, PBEsol
State: optimized geometry

POSCAR file:
```
Al4CuNi
1.0
4.360 0.000 0.000
-2.180 3.776 0.000
0.000 0.000 5.238
Al Cu Ni
4 1 1
direct
0.333 0.667 0.249
0.333 0.667 0.751
0.667 0.333 0.249
0.667 0.333 0.751
0.000 0.000 0.500
0.000 0.000 0.000
```

Calculated values
ΔE_f = 0.124 eV/atom
volume = 86 Å³/cell
SG = P6/mmm (191)

***

Look up the ΔE_f of the first one. -0.204 eV/atom

***

Among the records above, which one has the highest ΔE_f? Al4CuNi